The following is a PBE calculation of TbEr2Tm3S6 after structural relaxation, from the Alexandria database.

Structure (POSCAR):
```
TbEr2Tm3S6
1.0
8.413 -1.927 0.000
8.413 1.927 0.000
-1.817 0.000 7.540
Tb Er Tm S
1 2 3 6
Direct
0.000 0.000 0.000
0.334 0.334 0.668
0.666 0.666 0.332
0.000 0.000 0.500
0.334 0.334 0.166
0.666 0.666 0.834
0.167 0.167 0.585
0.169 0.169 0.083
0.500 0.500 0.256
0.500 0.500 0.744
0.831 0.831 0.917
0.833 0.833 0.415
```

Output
Formation energy without anion corrections (eV per atom): -1.952
Calculated volume (Å³/cell): 244
VASP energy (eV per formula unit): -75.35